A plane-wave DFT calculation with PBE-GGA was carried out for a relaxed Tl2CuBr3 crystal.

Results
ΔE_f (raw) (eV/atom): -0.646
D(E_F) (states/eV/atom): 0.0000
Excess energy over the best structure of this formula in the dataset (eV/atom): 0.011
Theoretical density (g/cm3): 5.7
Energy (eV/atom): -2.953

Cell: 7.546 7.546 8.653 Å, 108.22 108.22 65.02°
Positions (direct):
Tl: 0.028 0.662 0.841
Tl: 0.338 0.972 0.659
Tl: 0.662 0.028 0.341
Tl: 0.972 0.338 0.159
Cu: 0.410 0.590 0.250
Cu: 0.590 0.410 0.750
Br: 0.110 0.890 0.250
Br: 0.305 0.375 0.548
Br: 0.375 0.305 0.048
Br: 0.625 0.695 0.952
Br: 0.695 0.625 0.452
Br: 0.890 0.110 0.750